# 1
Here is a relaxed structure of Tb5Nd3Mg from Alexandria. Energies are from PBE-GGA.

Cell and atoms, written as CIF:
```
data_Tb5Nd3Mg
_symmetry_space_group_name_H-M 'P 1'
_symmetry_Int_Tables_number 1
_cell_length_a 9.3036
_cell_length_b 9.3036
_cell_length_c 9.5398
_cell_angle_alpha 119.18
_cell_angle_beta 119.18
_cell_angle_gamma 90.00
loop_
_symmetry_equiv_pos_as_xyz
'x,y,z'
loop_
_atom_site_label
_atom_site_type_symbol
_atom_site_fract_x
_atom_site_fract_y
_atom_site_fract_z
Tb1 Tb 0.8278 0.9397 0.2675
Mg1 Mg 0.2500 0.7500 0.5000
Tb2 Tb 0.9397 0.4397 0.2675
Nd1 Nd 0.6154 0.1154 0.0000
Tb3 Tb 0.6722 0.1722 0.7325
Tb4 Tb 0.0603 0.5603 0.7325
Nd2 Nd 0.8846 0.6154 0.0000
Tb5 Tb 0.1722 0.0603 0.7325
Tb6 Tb 0.5603 0.6722 0.7325
Nd3 Nd 0.2500 0.2500 0.5000
Tb7 Tb 0.3278 0.8278 0.2675
Nd4 Nd 0.3846 0.8846 0.0000
Mg2 Mg 0.7500 0.2500 0.5000
Tb8 Tb 0.5000 0.5000 0.0000
Nd5 Nd 0.1154 0.3846 0.0000
Tb9 Tb 0.4397 0.3278 0.2675
Tb10 Tb 0.0000 0.0000 0.0000
Nd6 Nd 0.7500 0.7500 0.5000
```



# 2
Here is a relaxed structure of Tb3Nd2Mg2 from Alexandria. Energies are from PBE-GGA.

Cell and atoms, written as CIF:
```
data_Tb3Nd2Mg2
_symmetry_space_group_name_H-M 'P 1'
_symmetry_Int_Tables_number 1
_cell_length_a 3.5570
_cell_length_b 3.5231
_cell_length_c 17.3432
_cell_angle_alpha 90.00
_cell_angle_beta 95.89
_cell_angle_gamma 90.00
loop_
_symmetry_equiv_pos_as_xyz
'x,y,z'
loop_
_atom_site_label
_atom_site_type_symbol
_atom_site_fract_x
_atom_site_fract_y
_atom_site_fract_z
Mg1 Mg 0.1372 0.0000 0.2744
Tb1 Tb 0.4276 0.5000 0.8553
Tb2 Tb 0.0000 0.0000 0.0000
Nd1 Nd 0.7045 0.5000 0.4091
Nd2 Nd 0.2955 0.5000 0.5909
Mg2 Mg 0.8628 0.0000 0.7256
Tb3 Tb 0.5724 0.5000 0.1447
```



# 3
Here is a relaxed structure of Tb3Nd2Mg3 from Alexandria. Energies are from PBE-GGA.

Cell and atoms, written as CIF:
```
data_Tb3Nd2Mg3
_symmetry_space_group_name_H-M 'P 1'
_symmetry_Int_Tables_number 1
_cell_length_a 3.8395
_cell_length_b 5.4650
_cell_length_c 11.7839
_cell_angle_alpha 103.41
_cell_angle_beta 99.38
_cell_angle_gamma 90.00
loop_
_symmetry_equiv_pos_as_xyz
'x,y,z'
loop_
_atom_site_label
_atom_site_type_symbol
_atom_site_fract_x
_atom_site_fract_y
_atom_site_fract_z
Mg1 Mg 0.1145 0.1145 0.2290
Nd1 Nd 0.2660 0.7660 0.5321
Mg2 Mg 0.8855 0.8855 0.7710
Tb1 Tb 0.5000 0.0000 0.0000
Tb2 Tb 0.3783 0.3783 0.7565
Tb3 Tb 0.6217 0.6217 0.2435
Mg3 Mg 0.0000 0.5000 0.0000
Nd2 Nd 0.7340 0.2340 0.4679
```



# 4
Here is a relaxed structure of Tb7Nd12Mg from Alexandria. Energies are from PBE-GGA.

Cell and atoms, written as CIF:
```
data_Tb7Nd12Mg
_symmetry_space_group_name_H-M 'P 1'
_symmetry_Int_Tables_number 1
_cell_length_a 9.3778
_cell_length_b 9.3778
_cell_length_c 9.3778
_cell_angle_alpha 107.75
_cell_angle_beta 107.75
_cell_angle_gamma 107.75
loop_
_symmetry_equiv_pos_as_xyz
'x,y,z'
loop_
_atom_site_label
_atom_site_type_symbol
_atom_site_fract_x
_atom_site_fract_y
_atom_site_fract_z
Nd1 Nd 0.7804 0.3038 0.5786
Nd2 Nd 0.6962 0.4214 0.2196
Tb1 Tb 0.9913 0.8765 0.3224
Nd3 Nd 0.6282 0.9381 0.7089
Nd4 Nd 0.3718 0.0619 0.2911
Nd5 Nd 0.7089 0.6282 0.9381
Tb2 Tb 0.0087 0.1235 0.6776
Nd6 Nd 0.9381 0.7089 0.6282
Tb3 Tb 0.1235 0.6776 0.0087
Nd7 Nd 0.0619 0.2911 0.3718
Nd8 Nd 0.3038 0.5786 0.7804
Tb4 Tb 0.6776 0.0087 0.1235
Tb5 Tb 0.3224 0.9913 0.8765
Nd9 Nd 0.5786 0.7804 0.3038
Tb6 Tb 0.5000 0.5000 0.5000
Tb7 Tb 0.8765 0.3224 0.9913
Nd10 Nd 0.2911 0.3718 0.0619
Nd11 Nd 0.2196 0.6962 0.4214
Mg1 Mg 0.0000 0.0000 0.0000
Nd12 Nd 0.4214 0.2196 0.6962
```

## Properties
* distance to the lowest polymorph of the same formula: 0 meV per atom



# 5
Here is a relaxed structure of Tb4Nd5Mg from Alexandria. Energies are from PBE-GGA.

Cell and atoms, written as CIF:
```
data_Tb4Nd5Mg
_symmetry_space_group_name_H-M 'P 1'
_symmetry_Int_Tables_number 1
_cell_length_a 3.6420
_cell_length_b 3.6420
_cell_length_c 24.7435
_cell_angle_alpha 90.00
_cell_angle_beta 90.00
_cell_angle_gamma 90.00
loop_
_symmetry_equiv_pos_as_xyz
'x,y,z'
loop_
_atom_site_label
_atom_site_type_symbol
_atom_site_fract_x
_atom_site_fract_y
_atom_site_fract_z
Tb1 Tb 0.0000 0.0000 0.3973
Nd1 Nd 0.5000 0.5000 0.0901
Nd2 Nd 0.5000 0.5000 0.5000
Nd3 Nd 0.5000 0.5000 0.2949
Tb2 Tb 0.0000 0.0000 0.6027
Tb3 Tb 0.0000 0.0000 0.1918
Nd4 Nd 0.5000 0.5000 0.9099
Tb4 Tb 0.0000 0.0000 0.8082
Mg1 Mg 0.0000 0.0000 0.0000
Nd5 Nd 0.5000 0.5000 0.7051
```



# 6
Here is a relaxed structure of TbNd2Mg from Alexandria. Energies are from PBE-GGA.

Cell and atoms, written as CIF:
```
data_TbNd2Mg
_symmetry_space_group_name_H-M 'P 1'
_symmetry_Int_Tables_number 1
_cell_length_a 3.5517
_cell_length_b 3.4993
_cell_length_c 10.5091
_cell_angle_alpha 99.58
_cell_angle_beta 90.00
_cell_angle_gamma 90.00
loop_
_symmetry_equiv_pos_as_xyz
'x,y,z'
loop_
_atom_site_label
_atom_site_type_symbol
_atom_site_fract_x
_atom_site_fract_y
_atom_site_fract_z
Mg1 Mg 0.0000 0.0710 0.1420
Tb1 Tb 0.0000 0.3101 0.6202
Nd1 Nd 0.5000 0.6863 0.3726
Nd2 Nd 0.5000 0.4580 0.9160
```

## Properties
* distance to the lowest polymorph of the same formula: 119 meV per atom



# 7
Here is a relaxed structure of TbNd3Mg from Alexandria. Energies are from PBE-GGA.

Cell and atoms, written as CIF:
```
data_TbNd3Mg
_symmetry_space_group_name_H-M 'P 1'
_symmetry_Int_Tables_number 1
_cell_length_a 3.8650
_cell_length_b 11.2723
_cell_length_c 10.7007
_cell_angle_alpha 90.00
_cell_angle_beta 90.00
_cell_angle_gamma 133.33
loop_
_symmetry_equiv_pos_as_xyz
'x,y,z'
loop_
_atom_site_label
_atom_site_type_symbol
_atom_site_fract_x
_atom_site_fract_y
_atom_site_fract_z
Nd1 Nd 0.7245 0.2372 0.4983
Mg1 Mg 0.7619 0.7560 0.2500
Nd2 Nd 0.6386 0.4444 0.2500
Nd3 Nd 0.3614 0.5556 0.7500
Mg2 Mg 0.2381 0.2440 0.7500
Nd4 Nd 0.2755 0.7628 0.5017
Tb1 Tb 0.8636 0.0566 0.2500
Tb2 Tb 0.1364 0.9434 0.7500
Nd5 Nd 0.2755 0.7628 0.9983
Nd6 Nd 0.7245 0.2372 0.0017
```

## Properties
* distance to the lowest polymorph of the same formula: 19 meV per atom



# 8
Here is a relaxed structure of TbNd2Mg8 from Alexandria. Energies are from PBE-GGA.

Cell and atoms, written as CIF:
```
data_TbNd2Mg8
_symmetry_space_group_name_H-M 'P 1'
_symmetry_Int_Tables_number 1
_cell_length_a 5.2590
_cell_length_b 7.4440
_cell_length_c 8.8633
_cell_angle_alpha 114.83
_cell_angle_beta 107.26
_cell_angle_gamma 90.00
loop_
_symmetry_equiv_pos_as_xyz
'x,y,z'
loop_
_atom_site_label
_atom_site_type_symbol
_atom_site_fract_x
_atom_site_fract_y
_atom_site_fract_z
Nd1 Nd 0.8002 0.3002 0.6004
Mg1 Mg 0.0000 0.7158 0.0000
Mg2 Mg 0.8423 0.8423 0.6846
Mg3 Mg 0.3587 0.1500 0.7174
Mg4 Mg 0.1577 0.1577 0.3154
Mg5 Mg 0.6413 0.8500 0.2826
Mg6 Mg 0.6413 0.4326 0.2826
Tb1 Tb 0.5000 0.0000 0.0000
Nd2 Nd 0.1998 0.6998 0.3996
Mg7 Mg 0.3587 0.5674 0.7174
Mg8 Mg 0.0000 0.2842 0.0000
```



Number 1: ΔE_f 0.2399 eV/atom, total magnetic moment 0.00 μB per cell. Number 2: ΔE_f 0.0290 eV/atom, total magnetic moment 0.01 μB per cell. Number 3: ΔE_f -0.0515 eV/atom, total magnetic moment 0.00 μB per cell. Number 4: ΔE_f 0.1352 eV/atom, total magnetic moment 0.00 μB per cell. Number 5: ΔE_f -0.0061 eV/atom, total magnetic moment 0.00 μB per cell. Number 6: ΔE_f 0.0849 eV/atom, total magnetic moment 0.00 μB per cell. Number 7: ΔE_f 0.1149 eV/atom, total magnetic moment 0.00 μB per cell. Number 8: ΔE_f 0.0286 eV/atom, total magnetic moment 0.00 μB per cell.